# CrCuSe3 PBE relaxed
# Volume, Å³/atom: 25.8
# Energy above the lowest structure with this stoichiometry, meV/atom: 0.0
data_CrCuSe3
_chemical_formula_sum 'Cr3 Cu3 Se9'
_cell_length_a 7.0721
_cell_length_b 7.0721
_cell_length_c 8.9182
_cell_angle_alpha 90.00
_cell_angle_beta 90.00
_cell_angle_gamma 120.00
_space_group_name_H-M_alt 'R 3 m'
_space_group_IT_number 160
_space_group_name_Hall 'R 3 -2"'
loop_
_atom_site_label
_atom_site_type_symbol
_atom_site_fract_x
_atom_site_fract_y
_atom_site_fract_z
_atom_site_occupancy
Cr1 Cr 0.0000 0.0000 0.0000 1
Cu1 Cu 0.0000 0.0000 0.3459 1
Se1 Se 0.1701 0.3402 0.8766 1